Density functional theory data (PBE) for Bi3PAu after structural relaxation.

Cell lengths 5.5074, 5.5074, 5.5074 Å; angles 90.00, 90.00, 90.00 degrees
Closest atoms and distances in Å follow each position.
Fractional coordinates of all 5 atoms:
P (0.5000, 0.5000, 0.5000)  12 Bi 3.89
Au (0.0000, 0.0000, 0.0000)  6 Bi 2.75
Bi (0.0000, 0.5000, 0.0000)  2 Au 2.75
Bi (0.0000, 0.0000, 0.5000)  2 Au 2.75
Bi (0.5000, 0.0000, 0.0000)  2 Au 2.75

Computed properties:
E_tot (eV/atom): -3.19
Space-group type: Pm-3m (221)
Formation energy from the elements (meV per atom): 880
Crystal system: cubic
Excess energy over the best structure of this formula in the dataset (meV/atom): 248
Spin magnetization (μB per cell): 0.00

***

Density functional theory data (PBE) for AcEuGeAs after structural relaxation.

Cell lengths 5.3985, 5.3985, 5.3985 Å; angles 60.00, 60.00, 60.00 degrees
Closest atoms and distances in Å follow each position.
Fractional coordinates of all 4 atoms:
Eu (0.0000, 0.0000, 0.0000)  4 As 3.31, 4 Ge 3.31
Ac (0.5000, 0.5000, 0.5000)  4 As 3.31, 4 Ge 3.31
Ge (0.2500, 0.2500, 0.2500)  4 Ac 3.31, 4 Eu 3.31
As (0.7500, 0.7500, 0.7500)  4 Ac 3.31, 4 Eu 3.31

Computed properties:
E_tot (eV/atom): -6.64
Space-group type: F-43m (216)
Formation energy from the elements (meV per atom): -726
Crystal system: cubic
Spin magnetization (μB per cell): 7.06

***

Density functional theory data (PBE) for InSbPb after structural relaxation.

Cell lengths 6.5345, 9.4821, 8.7371 Å; angles 90.00, 138.51, 90.00 degrees
Closest atoms and distances in Å follow each position.
Fractional coordinates of all 12 atoms:
In (0.5000, 0.2500, 0.7500)  2 In 3.27, 2 Sb 3.34, 4 Pb 3.58-3.59
In (0.0000, 0.2500, 0.7500)  2 In 3.27, 2 Sb 3.34, 4 Pb 3.58-3.59
In (0.5000, 0.7500, 0.2500)  2 In 3.27, 2 Sb 3.34, 4 Pb 3.58-3.59
In (0.0000, 0.7500, 0.2500)  2 In 3.27, 2 Sb 3.34, 4 Pb 3.58-3.59
Sb (0.7500, 0.9430, 0.7500)  2 Sb 3.09, 3 Pb 3.17-3.30, 2 In 3.34
Sb (0.2500, 0.0570, 0.2500)  2 Sb 3.09, 3 Pb 3.17-3.30, 2 In 3.34
Sb (0.7500, 0.4430, 0.2500)  2 Sb 3.09, 3 Pb 3.17-3.30, 2 In 3.34
Sb (0.2500, 0.5570, 0.7500)  2 Sb 3.09, 3 Pb 3.17-3.30, 2 In 3.34
Pb (0.7500, 0.6085, 0.7500)  3 Sb 3.17-3.30, 2 Pb 3.55
Pb (0.2500, 0.3915, 0.2500)  3 Sb 3.17-3.30, 2 Pb 3.55
Pb (0.7500, 0.1085, 0.2500)  3 Sb 3.17-3.30, 2 Pb 3.55
Pb (0.2500, 0.8915, 0.7500)  3 Sb 3.17-3.30, 2 Pb 3.55

Computed properties:
E_tot (eV/atom): -3.49
Space-group type: C2/c (15)
Uncorrected formation energy (kJ/mol of atoms): 3
Crystal system: monoclinic
Excess energy over the best structure of this formula in the dataset (meV/atom): 16
Spin magnetization (μB per cell): 0.00

***

Density functional theory data (PBE) for Sr2LaHfV after structural relaxation.

Cell lengths 6.0477, 4.6693, 6.0477 Å; angles 90.00, 90.00, 90.00 degrees
Closest atoms and distances in Å follow each position.
Fractional coordinates of all 5 atoms:
Sr (0.0000, 0.0000, 0.5000)  2 La 3.02
Sr (0.5000, 0.0000, 0.0000)  2 La 3.02
V (0.0000, 0.5000, 0.0000)  2 La 2.33
Hf (0.5000, 0.5000, 0.5000)  8 Sr 3.82, 4 V 4.28
La (0.0000, 0.0000, 0.0000)  2 V 2.33

Computed properties:
E_tot (eV/atom): -4.04
Space-group type: P4/mmm (123)
Formation energy from the elements (meV per atom): 1434
Crystal system: tetragonal
Spin magnetization (μB per cell): 2.41

***

Density functional theory data (PBE) for BeTeOs2 after structural relaxation.

Cell lengths 4.8636, 4.8636, 4.8636 Å; angles 133.38, 133.38, 68.06 degrees
Closest atoms and distances in Å follow each position.
Fractional coordinates of all 4 atoms:
Be (0.7500, 0.2500, 0.5000)  8 Os 2.72-2.79, 4 Te 2.79
Te (0.5000, 0.5000, 0.0000)  8 Os 2.72-2.79, 4 Be 2.79
Os (0.0000, 0.0000, 0.0000)  4 Te 2.72, 4 Os 2.79, 4 Be 2.79
Os (0.2500, 0.7500, 0.5000)  4 Be 2.72, 4 Te 2.79, 4 Os 2.79

Computed properties:
E_tot (eV/atom): -6.55
Space-group type: I-4m2 (119)
Uncorrected formation energy (kJ/mol of atoms): 75
Crystal system: tetragonal
Excess energy over the best structure of this formula in the dataset (meV/atom): 320
Spin magnetization (μB per cell): 0.00

***

Density functional theory data (PBE) for NaPm2Th3S6 after structural relaxation.

Cell lengths 4.0175, 8.1257, 9.0589 Å; angles 104.08, 102.81, 90.00 degrees
Closest atoms and distances in Å follow each position.
Fractional coordinates of all 12 atoms:
Na (0.5000, 0.0000, 0.0000)  6 S 2.79-2.84
Pm (0.8308, 0.6649, 0.6615)  6 S 2.82-2.89
Pm (0.1692, 0.3351, 0.3385)  6 S 2.82-2.89
Th (0.5000, 0.5000, 0.0000)  6 S 2.84-2.87
Th (0.8324, 0.1683, 0.6648)  6 S 2.86-2.90
Th (0.1676, 0.8317, 0.3352)  6 S 2.86-2.90
S (0.3369, 0.9196, 0.6738)  1 Na 2.79, 3 Th 2.86-2.90, 2 Pm 2.87
S (0.6661, 0.5794, 0.3321)  3 Pm 2.82-2.83, 3 Th 2.84-2.87
S (0.6631, 0.0804, 0.3262)  1 Na 2.79, 3 Th 2.86-2.90, 2 Pm 2.87
S (0.0002, 0.2477, 0.0004)  2 Na 2.84, 3 Th 2.87, 1 Pm 2.89
S (0.9998, 0.7523, 0.9996)  2 Na 2.84, 3 Th 2.87, 1 Pm 2.89
S (0.3339, 0.4206, 0.6679)  3 Pm 2.82-2.83, 3 Th 2.84-2.87

Computed properties:
E_tot (eV/atom): -6.65
Space-group type: C2/m (12)
Uncorrected formation energy (kJ/mol of atoms): -177
Crystal system: monoclinic
Spin magnetization (μB per cell): 0.00

***

Density functional theory data (PBE) for LiSn2TeS3 after structural relaxation.

Cell lengths 7.9794, 7.9794, 7.9794 Å; angles 59.22, 59.22, 59.22 degrees
Closest atoms and distances in Å follow each position.
Fractional coordinates of all 14 atoms:
Li (0.4106, 0.4106, 0.4106)  3 S 2.44
Li (0.5894, 0.5894, 0.5894)  3 S 2.44
Sn (0.0000, 0.0000, 0.0000)  6 S 2.82
Sn (0.5000, 0.0000, 0.0000)  4 S 2.64, 2 Te 2.94
Sn (0.0000, 0.5000, 0.0000)  4 S 2.64, 2 Te 2.94
Sn (0.0000, 0.0000, 0.5000)  4 S 2.64, 2 Te 2.94
Te (0.7386, 0.7386, 0.7386)  1 Li 2.93, 3 Sn 2.94
Te (0.2614, 0.2614, 0.2614)  1 Li 2.93, 3 Sn 2.94
S (0.2193, 0.7502, 0.7502)  1 Li 2.44, 2 Sn 2.64
S (0.7502, 0.2193, 0.7502)  1 Li 2.44, 2 Sn 2.64
S (0.7502, 0.7502, 0.2193)  1 Li 2.44, 2 Sn 2.64
S (0.7807, 0.2498, 0.2498)  1 Li 2.44, 2 Sn 2.64
S (0.2498, 0.7807, 0.2498)  1 Li 2.44, 2 Sn 2.64
S (0.2498, 0.2498, 0.7807)  1 Li 2.44, 2 Sn 2.64

Computed properties:
E_tot (eV/atom): -4.14
Space-group type: R-3m (166)
Uncorrected formation energy (kJ/mol of atoms): -49
Crystal system: trigonal
Spin magnetization (μB per cell): 0.00

***

Density functional theory data (PBE) for LiScAl2 after structural relaxation.

Cell lengths 4.6570, 4.6570, 4.6570 Å; angles 60.00, 60.00, 60.00 degrees
Closest atoms and distances in Å follow each position.
Fractional coordinates of all 4 atoms:
Sc (0.5000, 0.5000, 0.5000)  8 Al 2.85
Al (0.2500, 0.2500, 0.2500)  4 Sc 2.85, 4 Li 2.85
Al (0.7500, 0.7500, 0.7500)  4 Sc 2.85, 4 Li 2.85
Li (0.0000, 0.0000, 0.0000)  8 Al 2.85

Computed properties:
E_tot (eV/atom): -4.19
Space-group type: Fm-3m (225)
Formation energy from the elements (meV per atom): -260
Crystal system: cubic
Spin magnetization (μB per cell): 0.00

***

Density functional theory data (PBE) for LiW3Au after structural relaxation.

Cell lengths 4.8950, 4.8950, 4.8950 Å; angles 90.00, 90.00, 90.00 degrees
Closest atoms and distances in Å follow each position.
Fractional coordinates of all 5 atoms:
Au (0.0000, 0.0000, 0.0000)  6 W 2.45
W (0.0000, 0.5000, 0.0000)  2 Au 2.45
W (0.0000, 0.0000, 0.5000)  2 Au 2.45
W (0.5000, 0.0000, 0.0000)  2 Au 2.45
Li (0.5000, 0.5000, 0.5000)  12 W 3.46

Computed properties:
E_tot (eV/atom): -6.16
Space-group type: Pm-3m (221)
Formation energy from the elements (meV per atom): 2651
Crystal system: cubic
Excess energy over the best structure of this formula in the dataset (meV/atom): 1287
Spin magnetization (μB per cell): 0.00

***

Density functional theory data (PBE) for Al4Pb5 after structural relaxation.

Cell lengths 7.4184, 7.4184, 7.4184 Å; angles 95.84, 95.84, 142.80 degrees
Closest atoms and distances in Å follow each position.
Fractional coordinates of all 9 atoms:
Al (0.6390, 0.0000, 0.6390)  5 Al 2.76-3.07
Al (0.3610, 0.0000, 0.3610)  5 Al 2.76-3.07
Al (0.0000, 0.3610, 0.3610)  5 Al 2.76-3.07
Al (0.0000, 0.6390, 0.6390)  5 Al 2.76-3.07
Pb (0.0000, 0.0000, 0.0000)  8 Pb 3.39, 4 Al 3.59
Pb (0.6725, 0.3275, 0.0000)  6 Pb 3.22-3.43, 6 Al 3.27-3.47
Pb (0.3275, 0.6725, 0.0000)  6 Pb 3.22-3.43, 6 Al 3.27-3.47
Pb (0.3275, 0.3275, 0.6551)  6 Pb 3.22-3.43, 6 Al 3.27-3.47
Pb (0.6725, 0.6725, 0.3449)  6 Pb 3.22-3.43, 6 Al 3.27-3.47

Computed properties:
E_tot (eV/atom): -3.51
Space-group type: I4/mmm (139)
Formation energy from the elements (meV per atom): 216
Crystal system: tetragonal
Spin magnetization (μB per cell): 0.00

***

Density functional theory data (PBE) for ZrFe2Ir after structural relaxation.

Cell lengths 3.1819, 3.1819, 5.9572 Å; angles 90.00, 90.00, 90.01 degrees
Closest atoms and distances in Å follow each position.
Fractional coordinates of all 4 atoms:
Fe (0.0000, 0.0000, 0.0169)  4 Ir 2.64, 4 Zr 2.75-2.76, 1 Fe 2.78
Fe (0.0000, 0.0000, 0.4831)  4 Ir 2.64, 4 Zr 2.75-2.76, 1 Fe 2.78
Ir (0.5000, 0.5000, 0.2500)  8 Fe 2.64
Zr (0.5000, 0.5000, 0.7500)  8 Fe 2.75-2.76, 2 Ir 2.98

Computed properties:
E_tot (eV/atom): -8.62
Space-group type: P4/mmm (123)
Formation energy from the elements (meV per atom): -36
Crystal system: tetragonal
Spin magnetization (μB per cell): 4.84

***

Density functional theory data (PBE) for Ho3CuSiSe7 after structural relaxation.

Cell lengths 10.3032, 10.3032, 6.0299 Å; angles 90.00, 90.00, 120.00 degrees
Closest atoms and distances in Å follow each position.
Fractional coordinates of all 24 atoms:
Ho (0.7781, 0.1341, 0.2296)  7 Se 2.87-3.18
Ho (0.6440, 0.7781, 0.7296)  7 Se 2.87-3.18
Ho (0.1341, 0.3560, 0.7296)  7 Se 2.87-3.18
Ho (0.8659, 0.6440, 0.2296)  7 Se 2.87-3.18
Ho (0.3560, 0.2219, 0.2296)  7 Se 2.87-3.18
Ho (0.2219, 0.8659, 0.7296)  7 Se 2.87-3.18
Cu (0.0000, 0.0000, 0.1768)  3 Se 2.37
Cu (0.0000, 0.0000, 0.6768)  3 Se 2.37
Si (0.6667, 0.3333, 0.8194)  4 Se 2.28-2.31
Si (0.3333, 0.6667, 0.3194)  4 Se 2.28-2.31
Se (0.4218, 0.5213, 0.4753)  1 Si 2.31
Se (0.4787, 0.9005, 0.4753)  1 Si 2.31
Se (0.0995, 0.5782, 0.4753)  1 Si 2.31
Se (0.8987, 0.7374, 0.6951)  1 Cu 2.37
Se (0.6667, 0.3333, 0.4418)  1 Si 2.28
Se (0.9005, 0.4218, 0.9753)  1 Si 2.31
Se (0.8386, 0.1013, 0.6951)  1 Cu 2.37
Se (0.5782, 0.4787, 0.9753)  1 Si 2.31
Se (0.1013, 0.2626, 0.1951)  1 Cu 2.37
Se (0.5213, 0.0995, 0.9753)  1 Si 2.31
Se (0.2626, 0.1614, 0.6951)  1 Cu 2.37
Se (0.3333, 0.6667, 0.9418)  1 Si 2.28
Se (0.1614, 0.8987, 0.1951)  1 Cu 2.37
Se (0.7374, 0.8386, 0.1951)  1 Cu 2.37

Computed properties:
E_tot (eV/atom): -5.27
Space-group type: P6_3 (173)
Uncorrected formation energy (kJ/mol of atoms): -126
Crystal system: hexagonal
Spin magnetization (μB per cell): 0.00